# 1
A relaxed structure of EuCd2Au. Source: Alexandria, functional PBE-GGA.

Calculated values
Mass density = 9.46 g/cm³
ΔE_f = -0.351 eV per atom
SG = P4/mmm
Density of states at the Fermi level = 10.9 states/eV/cell

The structure in POSCAR format:
```
EuCd2Au
1.0
4.477 0.000 0.000
0.000 4.477 0.000
0.000 0.000 5.022
Eu Cd Au
1 2 1
direct
0.000 0.000 0.000 Eu
0.000 0.500 0.500 Cd
0.500 0.000 0.500 Cd
0.500 0.500 0.000 Au
```

=====

# 2
A relaxed structure of Eu2CdAu. Source: Alexandria, functional PBE-GGA.

Calculated values
Mass density = 6.24 g/cm³
ΔE_f = -0.215 eV per atom
Relative energy among the computed polymorphs = 0.353 eV/atom
SG = R-3m
Density of states at the Fermi level = 23.9 states/eV/cell

The structure in POSCAR format:
```
Eu2CdAu
1.0
2.133 1.231 10.351
-2.133 1.231 10.351
0.000 -2.463 10.351
Eu Cd Au
2 1 1
direct
0.110 0.110 0.110 Eu
0.890 0.890 0.890 Eu
0.000 0.000 0.000 Cd
0.500 0.500 0.500 Au
```

=====

# 3
A relaxed structure of EuCd2Au. Source: Alexandria, functional PBE-GGA.

Calculated values
Mass density = 10.08 g/cm³
ΔE_f = -0.320 eV per atom
SG = Fm-3m
Density of states at the Fermi level = 9.6 states/eV/cell

The structure in POSCAR format:
```
EuCd2Au
1.0
0.000 3.616 3.616
3.616 0.000 3.616
3.616 3.616 0.000
Eu Cd Au
1 2 1
direct
0.000 0.000 0.000 Eu
0.250 0.250 0.250 Cd
0.750 0.750 0.750 Cd
0.500 0.500 0.500 Au
```

=====

# 4
A relaxed structure of EuCdAu. Source: Alexandria, functional PBE-GGA.

Calculated values
Mass density = 10.03 g/cm³
ΔE_f = -0.628 eV per atom
SG = Pnma
Density of states at the Fermi level = 37.6 states/eV/cell

The structure in POSCAR format:
```
EuCdAu
1.0
7.529 0.000 0.000
0.000 4.561 0.000
0.000 0.000 8.900
Eu Cd Au
4 4 4
direct
0.039 0.250 0.184 Eu
0.461 0.750 0.684 Eu
0.539 0.250 0.316 Eu
0.961 0.750 0.816 Eu
0.145 0.250 0.560 Cd
0.355 0.750 0.060 Cd
0.645 0.250 0.940 Cd
0.855 0.750 0.440 Cd
0.245 0.750 0.374 Au
0.255 0.250 0.874 Au
0.745 0.750 0.126 Au
0.755 0.250 0.626 Au
```

=====

# 5
A relaxed structure of EuCdAu. Source: Alexandria, functional PBE-GGA.

Calculated values
Mass density = 10.20 g/cm³
ΔE_f = -0.509 eV per atom
SG = I4mm
Density of states at the Fermi level = 8.9 states/eV/cell

The structure in POSCAR format:
```
EuCdAu
1.0
-1.894 1.894 5.234
1.894 -1.894 5.234
1.894 1.894 -5.234
Eu Cd Au
1 1 1
direct
0.000 0.000 0.000 Eu
0.307 0.307 0.000 Cd
0.669 0.669 0.000 Au
```

=====

# 6
A relaxed structure of EuCd2Au. Source: Alexandria, functional PBE-GGA.

Calculated values
Mass density = 9.00 g/cm³
ΔE_f = 0.102 eV per atom
SG = R-3m
Density of states at the Fermi level = 1.9 states/eV/cell

The structure in POSCAR format:
```
EuCd2Au
1.0
1.688 0.975 10.721
-1.688 0.975 10.721
0.000 -1.949 10.721
Eu Cd Au
1 2 1
direct
0.000 0.000 0.000 Eu
0.100 0.100 0.100 Cd
0.900 0.900 0.900 Cd
0.500 0.500 0.500 Au
```

=====

# 7
A relaxed structure of EuCdAu. Source: Alexandria, functional PBE-GGA.

Calculated values
Mass density = 8.82 g/cm³
ΔE_f = -0.521 eV per atom
SG = F-43m
Density of states at the Fermi level = 7.8 states/eV/cell

The structure in POSCAR format:
```
EuCdAu
1.0
0.000 3.515 3.515
3.515 0.000 3.515
3.515 3.515 0.000
Eu Cd Au
1 1 1
direct
0.000 0.000 0.000 Eu
0.500 0.500 0.500 Cd
0.250 0.250 0.250 Au
```

=====

# 8
A relaxed structure of Eu2CdAu. Source: Alexandria, functional PBE-GGA.

Calculated values
Mass density = 9.05 g/cm³
ΔE_f = -0.538 eV per atom
Relative energy among the computed polymorphs = 0.030 eV/atom
SG = Fm-3m
Density of states at the Fermi level = 15.2 states/eV/cell

The structure in POSCAR format:
```
Eu2CdAu
1.0
0.000 3.831 3.831
3.831 0.000 3.831
3.831 3.831 0.000
Eu Cd Au
2 1 1
direct
0.250 0.250 0.250 Eu
0.750 0.750 0.750 Eu
0.000 0.000 0.000 Cd
0.500 0.500 0.500 Au
```

=====

# 9
A relaxed structure of EuCdAu. Source: Alexandria, functional PBE-GGA.

Calculated values
Mass density = 9.86 g/cm³
ΔE_f = -0.568 eV per atom
SG = P-6m2
Density of states at the Fermi level = 9.3 states/eV/cell

The structure in POSCAR format:
```
EuCdAu
1.0
4.901 0.000 0.000
-2.450 4.244 0.000
0.000 0.000 3.735
Eu Cd Au
1 1 1
direct
0.000 0.000 0.000 Eu
0.667 0.333 0.500 Cd
0.333 0.667 0.500 Au
```

=====

# 10
A relaxed structure of EuCdHgAu. Source: Alexandria, functional PBE-GGA.

Calculated values
Mass density = 11.30 g/cm³
ΔE_f = -0.470 eV per atom
SG = F-43m
Density of states at the Fermi level = 10.4 states/eV/cell

The structure in POSCAR format:
```
EuCdHgAu
1.0
0.000 3.650 3.650
3.650 0.000 3.650
3.650 3.650 0.000
Eu Cd Hg Au
1 1 1 1
direct
0.000 0.000 0.000 Eu
0.500 0.500 0.500 Cd
0.250 0.250 0.250 Hg
0.750 0.750 0.750 Au
```

=====

# 11
A relaxed structure of EuHoCdAu. Source: Alexandria, functional PBE-GGA.

Calculated values
Mass density = 10.03 g/cm³
ΔE_f = -0.519 eV per atom
SG = F-43m
Density of states at the Fermi level = 5.8 states/eV/cell

The structure in POSCAR format:
```
EuHoCdAu
1.0
0.000 3.729 3.729
3.729 0.000 3.729
3.729 3.729 0.000
Eu Ho Cd Au
1 1 1 1
direct
0.000 0.000 0.000 Eu
0.500 0.500 0.500 Ho
0.750 0.750 0.750 Cd
0.250 0.250 0.250 Au
```

=====

# 12
A relaxed structure of LaEuCdAu. Source: Alexandria, functional PBE-GGA.

Calculated values
Mass density = 9.95 g/cm³
ΔE_f = -0.413 eV per atom
SG = F-43m
Density of states at the Fermi level = 1.0 states/eV/cell

The structure in POSCAR format:
```
LaEuCdAu
1.0
0.000 3.686 3.686
3.686 0.000 3.686
3.686 3.686 0.000
La Eu Cd Au
1 1 1 1
direct
0.000 0.000 0.000 La
0.750 0.750 0.750 Eu
0.500 0.500 0.500 Cd
0.250 0.250 0.250 Au
```